Computed, not measured: an optimized crystal structure of Be2SiSb at the GGA-PBE level of DFT.

Properties
* energy above the most stable polymorph in this dataset: 0.106 eV per atom
* SG: R-3m, No. 166
* formation energy without anion corrections: 0.43 eV per atom
* V: 15.5 A^3/atom
* size of the total moment: 0.00 μB/cell

a = 5.8354 Å, b = 5.8354 Å, c = 5.8354 Å
α = 36.21°, β = 36.21°, γ = 36.21°
With the nearest neighbours (Å) after each atom.
Sites, in units of the cell vectors:
Sb  0.2500  0.2500  0.2500  6 Be 2.80
Be  0.0302  0.0302  0.0302  3 Si 2.27
Be  0.4698  0.4698  0.4698  3 Si 2.27
Si  0.7500  0.7500  0.7500  6 Be 2.27